This record from Alexandria via LeMat-Bulk describes a geometry-optimized TaTcHgIr2 structure. The functional is GGA-PBE.

Cell: 4.640 4.640 4.990 Å, 90.00 90.00 90.00°
Fractional positions:
1 Ta 0.000 0.000 0.000
2 Tc 0.500 0.500 0.500
3 Hg 0.500 0.500 0.000
4 Ir 0.000 0.500 0.500
5 Ir 0.500 0.000 0.500

Results
Uncorrected energy: -6.30 eV/atom
Space group: P4/mmm
E_form: 1752 meV/atom
Energy relative to the lowest polymorph listed for this composition: 0.320 eV per atom
Total moment: 0.000 μB per atom



This record from Alexandria via LeMat-Bulk describes a geometry-optimized Li3V12Co5 structure. The functional is GGA-PBE.

Cell: 11.698 11.698 11.698 Å, 109.47 109.47 109.47°
Fractional positions:
1 Li 0.125 0.250 0.375
2 Li 0.125 0.375 0.750
3 Li 0.250 0.375 0.125
4 Li 0.250 0.875 0.625
5 Li 0.375 0.125 0.250
6 Li 0.375 0.750 0.125
7 Li 0.625 0.250 0.875
8 Li 0.625 0.875 0.750
9 Li 0.750 0.125 0.375
10 Li 0.750 0.625 0.875
11 Li 0.875 0.625 0.250
12 Li 0.875 0.750 0.625
13 V 0.052 0.224 0.124
14 V 0.052 0.328 0.929
15 V 0.071 0.624 0.400
16 V 0.071 0.948 0.672
17 V 0.100 0.724 0.672
18 V 0.100 0.876 0.429
19 V 0.124 0.052 0.224
20 V 0.124 0.571 0.900
21 V 0.172 0.224 0.600
22 V 0.172 0.448 0.571
23 V 0.224 0.124 0.052
24 V 0.224 0.600 0.172
25 V 0.276 0.328 0.900
26 V 0.276 0.448 0.376
27 V 0.328 0.900 0.276
28 V 0.328 0.929 0.052
29 V 0.376 0.276 0.448
30 V 0.376 0.600 0.929
31 V 0.400 0.071 0.624
32 V 0.400 0.828 0.776
33 V 0.429 0.100 0.876
34 V 0.429 0.828 0.552
35 V 0.448 0.376 0.276
36 V 0.448 0.571 0.172
37 V 0.552 0.429 0.828
38 V 0.552 0.624 0.724
39 V 0.571 0.172 0.448
40 V 0.571 0.900 0.124
41 V 0.600 0.172 0.224
42 V 0.600 0.929 0.376
43 V 0.624 0.400 0.071
44 V 0.624 0.724 0.552
45 V 0.672 0.071 0.948
46 V 0.672 0.100 0.724
47 V 0.724 0.552 0.624
48 V 0.724 0.672 0.100
49 V 0.776 0.400 0.828
50 V 0.776 0.876 0.948
51 V 0.828 0.552 0.429
52 V 0.828 0.776 0.400
53 V 0.876 0.429 0.100
54 V 0.876 0.948 0.776
55 V 0.900 0.124 0.571
56 V 0.900 0.276 0.328
57 V 0.929 0.052 0.328
58 V 0.929 0.376 0.600
59 V 0.948 0.672 0.071
60 V 0.948 0.776 0.876
61 Co 0.000 0.000 0.000
62 Co 0.000 0.000 0.500
63 Co 0.000 0.500 0.000
64 Co 0.000 0.500 0.500
65 Co 0.125 0.750 0.875
66 Co 0.125 0.875 0.250
67 Co 0.250 0.125 0.875
68 Co 0.250 0.625 0.375
69 Co 0.375 0.250 0.625
70 Co 0.375 0.625 0.750
71 Co 0.500 0.000 0.000
72 Co 0.500 0.000 0.500
73 Co 0.500 0.500 0.000
74 Co 0.500 0.500 0.500
75 Co 0.625 0.375 0.250
76 Co 0.625 0.750 0.375
77 Co 0.750 0.375 0.625
78 Co 0.750 0.875 0.125
79 Co 0.875 0.125 0.750
80 Co 0.875 0.250 0.125

Results
Uncorrected energy: -6.49 eV/atom
Space group: Ia-3d
E_form: 1050 meV/atom
Total moment: 0.306 μB per atom



This record from Alexandria via LeMat-Bulk describes a geometry-optimized Na2ZnIn structure. The functional is GGA-PBE.

Cell: 3.235 3.235 9.584 Å, 90.00 90.00 90.00°
Fractional positions:
1 Na 0.000 0.000 0.230
2 Na 0.000 0.000 0.770
3 Zn 0.500 0.500 0.000
4 In 0.500 0.500 0.500

Results
Uncorrected energy: -1.64 eV/atom
Space group: P4/mmm
E_form: 19 meV/atom
Total moment: 0.000 μB per atom



> Among the records above, which one has the highest total moment?

Li3V12Co5



> Which of these has the highest uncorrected energy?

Na2ZnIn



> What is the formula in the second record?

Li3V12Co5



> Look up the uncorrected energy of the third one.

-1.64 eV/atom